The following is a PBE-GGA calculation of a geometry-optimized Cs2YHg structure, from the Alexandria database.

Results
For the excess energy over the best structure of this formula in the dataset, the calculation gives 221 meV per atom. As for the crystal system: cubic. For the formation energy, the calculation gives 0.5657 eV per atom. The calculation puts the uncorrected energy at -1.55 eV per atom.

```
data_Cs2YHg
_cell_length_a 6.717
_cell_length_b 6.717
_cell_length_c 6.717
_cell_angle_alpha 60.00
_cell_angle_beta 60.00
_cell_angle_gamma 60.00
_symmetry_space_group_name_H-M 'P 1'
_symmetry_Int_Tables_number 1
loop_
_symmetry_equiv_pos_as_xyz
'x,y,z'
loop_
_atom_site_label
_atom_site_type_symbol
_atom_site_fract_x
_atom_site_fract_y
_atom_site_fract_z
_atom_site_occupancy
Cs1 Cs 0.250 0.250 0.250 1
Cs2 Cs 0.750 0.750 0.750 1
Y1 Y 0.000 0.000 0.000 1
Hg1 Hg 0.500 0.500 0.500 1
```